5
Lattice="7.0084 0.0000 0.0000 0.0000 7.0084 0.0000 0.0000 0.0000 7.0084" Properties=species:S:1:pos:R:3 comment="Cs3TlW | the Alexandria database | meta-GGA SCAN | single point on PBEsol structure" formation_enthalpy_0k_ev_per_atom=1.443 sg="Pm-3m (221)" pbc="T T T"
Cs 0.0000 0.0000 3.5042
Cs 0.0000 3.5042 0.0000
Cs 3.5042 0.0000 0.0000
Tl 3.5042 3.5042 3.5042
W 0.0000 0.0000 0.0000

5
Lattice="7.0191 0.0000 0.0000 0.0000 7.0191 0.0000 0.0000 0.0000 7.0191" Properties=species:S:1:pos:R:3 comment="Cs3YZr | the Alexandria database | meta-GGA SCAN | single point on PBEsol structure" formation_enthalpy_0k_ev_per_atom=1.609 sg="Pm-3m (221)" pbc="T T T"
Cs 0.0000 0.0000 3.5095
Cs 0.0000 3.5095 0.0000
Cs 3.5095 0.0000 0.0000
Y 0.0000 0.0000 0.0000
Zr 3.5095 3.5095 3.5095

6
Lattice="0.0000 3.4521 3.4521 3.4521 0.0000 3.4521 3.4521 3.4521 0.0000" Properties=species:S:1:pos:R:3 comment="DyCu5 | the Alexandria database | meta-GGA SCAN | single point on PBEsol structure" formation_enthalpy_0k_ev_per_atom=-0.204 sg="F-43m (216)" pbc="T T T"
Dy 0.0000 0.0000 0.0000
Cu 2.5971 2.5971 2.5971
Cu 4.3071 4.3071 2.5971
Cu 4.3071 2.5971 4.3071
Cu 5.1781 5.1781 5.1781
Cu 2.5971 4.3071 4.3071

29
Lattice="0.0000 5.9593 5.9593 5.9593 0.0000 5.9593 5.9593 5.9593 0.0000" Properties=species:S:1:pos:R:3 comment="Dy6Cu23 | the Alexandria database | meta-GGA SCAN | single point on PBEsol structure" formation_enthalpy_0k_ev_per_atom=-0.211 sg="Fm-3m (225)" pbc="T T T"
Dy 5.9593 5.9593 2.5419
Dy 5.9593 2.5419 5.9593
Dy 9.3767 5.9593 5.9593
Dy 2.5419 5.9593 5.9593
Dy 5.9593 9.3767 5.9593
Dy 5.9593 5.9593 9.3767
Cu 2.9796 2.9796 0.0000
Cu 2.9796 0.0000 2.9796
Cu 5.9593 2.9796 2.9796
Cu 7.4148 4.5037 4.5037
Cu 2.0729 2.0729 2.0729
Cu 3.8864 3.8864 2.0729
Cu 3.8864 2.0729 3.8864
Cu 4.5037 4.5037 4.5037
Cu 7.4148 7.4148 4.5037
Cu 7.4148 4.5037 7.4148
Cu 2.0729 3.8864 3.8864
Cu 0.0000 2.9796 2.9796
Cu 2.9796 5.9593 2.9796
Cu 2.9796 2.9796 5.9593
Cu 5.9593 5.9593 5.9593
Cu 9.8457 8.0322 8.0322
Cu 4.5037 7.4148 4.5037
Cu 4.5037 4.5037 7.4148
Cu 7.4148 7.4148 7.4148
Cu 8.0322 9.8457 8.0322
Cu 8.0322 8.0322 9.8457
Cu 9.8457 9.8457 9.8457
Cu 4.5037 7.4148 7.4148

6
Lattice="4.9504 0.0000 0.0000 -2.4752 4.2872 0.0000 0.0000 0.0000 3.9997" Properties=species:S:1:pos:R:3 comment="DyCu5 | the Alexandria database | meta-GGA SCAN | single point on PBEsol structure" formation_enthalpy_0k_ev_per_atom=-0.217 sg="P6/mmm (191)" pbc="T T T"
Dy 0.0000 0.0000 0.0000
Cu -1.2376 2.1436 1.9998
Cu 0.0000 2.8581 0.0000
Cu 2.4752 0.0000 1.9998
Cu 1.2376 2.1436 1.9998
Cu 2.4752 1.4291 0.0000

6
Lattice="4.3065 0.0000 0.0000 -2.1532 3.7295 0.0000 0.0000 0.0000 7.0887" Properties=species:S:1:pos:R:3 comment="Dy2Ga3Cu | the Alexandria database | meta-GGA SCAN | single point on PBEsol structure" formation_enthalpy_0k_ev_per_atom=-0.710 sg="P3m1 (156)" pbc="T T T"
Dy 0.0000 0.0000 0.0000
Dy 0.0000 0.0000 3.3404
Ga 0.0000 2.4864 5.5318
Ga 2.1532 1.2432 1.7877
Ga 2.1532 1.2432 4.8936
Cu 0.0000 2.4864 1.4161

6
Lattice="4.8130 -2.1203 0.0000 4.8130 2.1203 0.0000 -4.4167 0.0000 5.1271" Properties=species:S:1:pos:R:3 comment="Dy2GaCu3 | the Alexandria database | meta-GGA SCAN | single point on PBEsol structure" formation_enthalpy_0k_ev_per_atom=-0.448 sg="Cm (8)" pbc="T T T"
Dy 0.0000 0.0000 0.0000
Dy -1.7273 0.0000 3.0487
Ga 2.7991 0.0000 0.9774
Cu 1.1368 0.0000 3.0057
Cu 6.7804 0.0000 0.0584
Cu 5.0526 0.0000 2.0964

18
Lattice="5.1325 -2.1567 0.0000 5.1325 2.1567 0.0000 -4.3410 0.0000 15.0391" Properties=species:S:1:pos:R:3 comment="Dy3Ga4Cu2 | the Alexandria database | meta-GGA SCAN | single point on PBEsol structure" formation_enthalpy_0k_ev_per_atom=-0.671 sg="Cm (8)" pbc="T T T"
Dy 0.0000 0.0000 0.0000
Dy -1.4770 0.0000 12.8704
Dy 0.5285 0.0000 9.9760
Dy 3.4186 0.0000 7.7644
Dy 5.3873 0.0000 5.0301
Dy 8.2912 0.0000 2.9397
Ga -2.5645 0.0000 10.0264
Ga 1.0646 0.0000 2.8343
Ga 3.1424 0.0000 0.8670
Ga 2.3304 0.0000 5.0354
Ga 1.5565 0.0000 12.8582
Ga 3.6599 0.0000 10.8553
Ga 7.1834 0.0000 0.0340
Ga 6.4515 0.0000 7.8308
Cu 0.4115 0.0000 7.0024
Cu 5.3507 0.0000 1.9952
Cu 5.8539 0.0000 12.0152
Cu 8.4158 0.0000 5.8318

Number 1: density of states at the Fermi level 1.27 states/eV per atom, magnetization 2.9 μB/f.u.. Number 2: density of states at the Fermi level 1.12 states/eV per atom, magnetization 6.2 μB/f.u.. Number 3: density of states at the Fermi level 0.57 states/eV per atom, magnetization 0.0 μB/f.u.. Number 4: density of states at the Fermi level 0.50 states/eV per atom, magnetization 0.0 μB/f.u.. Number 5: density of states at the Fermi level 0.46 states/eV per atom, magnetization 0.0 μB/f.u.. Number 6: density of states at the Fermi level 0.17 states/eV per atom, magnetization 0.0 μB/f.u.. Number 7: density of states at the Fermi level 0.55 states/eV per atom, magnetization 0.0 μB/f.u.. Number 8: density of states at the Fermi level 0.36 states/eV per atom, magnetization 0.0 μB/f.u..